4
Lattice="0.000 2.966 2.966 2.966 0.000 2.966 2.966 2.966 0.000" Properties=species:S:1:pos:R:3 comment="ZnFeCuW PBE optimized geometry" crystal_system=cubic magnetic_moment_mub_per_cell=1.1 volume_a3_per_cell=52.2 polymorph_energy_ev_per_fu=0.00 pbc="T T T"
Zn 0.000 0.000 0.000
Fe 4.449 4.449 4.449
Cu 1.483 1.483 1.483
W 2.966 2.966 2.966